Material: HfAsOs2
Method: DFT, PBE
State: optimized geometry

Calculated values
Distance to the lowest polymorph of the same formula = 0.0 meV/atom
Energy of formation from the pure elements = -0.03 eV per atom
V = 16.2 Å³ per atom
Crystal system = cubic
E_tot = -148.67 eV for the cell shown
D(E_F) = 11.26 states/eV per cell

a = 6.381 Å, b = 6.381 Å, c = 6.381 Å
α = 90.00°, β = 90.00°, γ = 90.00°
Space group Fm-3m (No. 225)
Asymmetric unit:
1 Hf 0.000 0.000 0.000 x4
2 As 0.000 0.000 0.500 x4
3 Os 0.250 0.250 0.250 x8



Material: HfAs3Os
Method: DFT, PBE
State: optimized geometry

Calculated values
Distance to the lowest polymorph of the same formula = 563.5 meV/atom
Energy of formation from the pure elements = 1.33 eV per atom
V = 25.7 Å³ per atom
Crystal system = cubic
E_tot = -28.48 eV for the cell shown
D(E_F) = 10.94 states/eV per cell

a = 5.049 Å, b = 5.049 Å, c = 5.049 Å
α = 90.00°, β = 90.00°, γ = 90.00°
Space group Pm-3m (No. 221)
Asymmetric unit:
1 Hf 0.000 0.000 0.000 x1
2 As 0.000 0.000 0.500 x3
3 Os 0.500 0.500 0.500 x1



Material: Hf2As2Os
Method: DFT, PBE
State: optimized geometry

Calculated values
Energy of formation from the pure elements = -0.43 eV per atom
V = 17.5 Å³ per atom
Crystal system = tetragonal
E_tot = -85.15 eV for the cell shown
D(E_F) = 8.96 states/eV per cell

a = 6.653 Å, b = 6.653 Å, c = 3.953 Å
α = 90.00°, β = 90.00°, γ = 90.00°
Space group P4/mbm (No. 127)
Asymmetric unit:
1 Hf 0.159 0.341 0.000 x4
2 As 0.149 0.649 0.500 x4
3 Os 0.000 0.000 0.500 x2



Material: HfAs3Os
Method: DFT, PBE
State: optimized geometry

Calculated values
Distance to the lowest polymorph of the same formula = 0.0 meV/atom
Energy of formation from the pure elements = 0.77 eV per atom
V = 22.0 Å³ per atom
Crystal system = cubic
E_tot = -31.30 eV for the cell shown
D(E_F) = 6.96 states/eV per cell

a = 4.794 Å, b = 4.794 Å, c = 4.794 Å
α = 90.00°, β = 90.00°, γ = 90.00°
Space group Pm-3m (No. 221)
Asymmetric unit:
1 Hf 0.000 0.000 0.000 x1
2 As 0.000 0.500 0.500 x3
3 Os 0.500 0.500 0.500 x1



Material: Hf3AsOs
Method: DFT, PBE
State: optimized geometry

Calculated values
Distance to the lowest polymorph of the same formula = 0.0 meV/atom
Energy of formation from the pure elements = 0.30 eV per atom
V = 25.1 Å³ per atom
Crystal system = cubic
E_tot = -44.23 eV for the cell shown
D(E_F) = 4.82 states/eV per cell

a = 5.004 Å, b = 5.004 Å, c = 5.004 Å
α = 90.00°, β = 90.00°, γ = 90.00°
Space group Pm-3m (No. 221)
Asymmetric unit:
1 Hf 0.000 0.000 0.500 x3
2 As 0.500 0.500 0.500 x1
3 Os 0.000 0.000 0.000 x1



Material: Hf4AsOs
Method: DFT, PBE
State: optimized geometry

Calculated values
Energy of formation from the pure elements = -0.27 eV per atom
V = 21.9 Å³ per atom
Crystal system = monoclinic
E_tot = -114.63 eV for the cell shown
D(E_F) = 7.51 states/eV per cell

a = 6.201 Å, b = 6.536 Å, c = 6.512 Å
α = 90.00°, β = 95.07°, γ = 90.00°
Space group P2_1/c (No. 14)
Asymmetric unit:
1 Hf 0.133 0.163 0.358 x4
2 Hf 0.354 0.645 0.341 x4
3 As 0.500 0.000 0.500 x2
4 Os 0.000 0.000 0.000 x2



Material: HfAs2Os
Method: DFT, PBE
State: optimized geometry

Calculated values
Distance to the lowest polymorph of the same formula = 0.0 meV/atom
Energy of formation from the pure elements = -0.08 eV per atom
V = 16.6 Å³ per atom
Crystal system = cubic
E_tot = -123.28 eV for the cell shown
D(E_F) = 24.06 states/eV per cell

a = 6.424 Å, b = 6.424 Å, c = 6.424 Å
α = 90.00°, β = 90.00°, γ = 90.00°
Space group Fm-3m (No. 225)
Asymmetric unit:
1 Hf 0.000 0.000 0.000 x4
2 As 0.250 0.250 0.250 x8
3 Os 0.000 0.000 0.500 x4



Material: HfAsOs
Method: DFT, PBE
State: optimized geometry

Calculated values
Energy of formation from the pure elements = -0.07 eV per atom
V = 21.2 Å³ per atom
Crystal system = monoclinic
E_tot = -104.23 eV for the cell shown
D(E_F) = 8.46 states/eV per cell

a = 7.768 Å, b = 4.749 Å, c = 6.989 Å
α = 90.00°, β = 100.10°, γ = 90.00°
Space group C2/m (No. 12)
Asymmetric unit:
1 Hf 0.226 0.000 0.347 x4
2 As 0.046 0.500 0.188 x4
3 Os 0.126 0.000 0.685 x4



Material: HfAs2Os
Method: DFT, PBE
State: optimized geometry

Calculated values
Distance to the lowest polymorph of the same formula = 116.7 meV/atom
Energy of formation from the pure elements = 0.03 eV per atom
V = 18.5 Å³ per atom
Crystal system = tetragonal
E_tot = -121.41 eV for the cell shown
D(E_F) = 10.94 states/eV per cell

a = 4.081 Å, b = 4.081 Å, c = 17.801 Å
α = 90.00°, β = 90.00°, γ = 90.00°
Space group I-42d (No. 122)
Asymmetric unit:
1 Hf 0.000 0.000 0.000 x4
2 As 0.219 0.250 0.625 x8
3 Os 0.000 0.000 0.500 x4



Material: HfAsOs2
Method: DFT, PBE
State: optimized geometry

Calculated values
Distance to the lowest polymorph of the same formula = 384.1 meV/atom
Energy of formation from the pure elements = 0.36 eV per atom
V = 17.7 Å³ per atom
Crystal system = tetragonal
E_tot = -142.52 eV for the cell shown
D(E_F) = 22.28 states/eV per cell

a = 7.218 Å, b = 7.218 Å, c = 5.429 Å
α = 90.00°, β = 90.00°, γ = 90.00°
Space group I-42d (No. 122)
Asymmetric unit:
1 Hf 0.000 0.000 0.000 x4
2 As 0.000 0.000 0.500 x4
3 Os 0.189 0.250 0.625 x8



Material: HfAsOs
Method: DFT, PBE
State: optimized geometry

Calculated values
Energy of formation from the pure elements = -0.56 eV per atom
V = 16.5 Å³ per atom
Crystal system = hexagonal
E_tot = -82.54 eV for the cell shown
D(E_F) = 6.56 states/eV per cell

a = 6.5579 Å, b = 6.5579 Å, c = 3.9891 Å
α = 90.00°, β = 90.00°, γ = 120.00°
Space group P-62m (No. 189)
Asymmetric unit:
1 Hf 0.0000 0.5789 0.0000 x3
2 As 0.0000 0.0000 0.0000 x1
3 As 0.3333 0.6667 0.5000 x2
4 Os 0.0000 0.2466 0.5000 x3



Material: Hf2AsOs
Method: DFT, PBE
State: optimized geometry

Calculated values
Distance to the lowest polymorph of the same formula = 603.5 meV/atom
Energy of formation from the pure elements = 0.32 eV per atom
V = 27.0 Å³ per atom
Crystal system = tetragonal
E_tot = -138.10 eV for the cell shown
D(E_F) = 14.34 states/eV per cell

a = 5.943 Å, b = 5.943 Å, c = 12.248 Å
α = 90.00°, β = 90.00°, γ = 90.00°
Space group I-42d (No. 122)
Asymmetric unit:
1 Hf 0.234 0.250 0.125 x8
2 As 0.000 0.000 0.500 x4
3 Os 0.000 0.000 0.000 x4



- What is the V in the second record?
  25.7 Å³ per atom